Record 1
DFT (GGA-PBE) results for a geometry-optimized K2SrBO4 structure.

Cell lengths 5.976, 5.466, 5.466 Å; angles 72.61, 56.86, 56.86 degrees
Last column: magnetic moment on the atom in μB.
Fractional coordinates of all 8 atoms:
K  0.000  0.500  0.500  0.00
O  0.490  0.730  0.000  0.21
Sr  0.000  0.000  0.000  0.00
O  0.510  0.000  0.270  0.21
B  0.500  0.000  0.000  -0.02
O  0.780  0.000  0.730  0.21
O  0.220  0.270  0.000  0.21
K  0.500  0.500  0.500  0.00

## Properties
Uncorrected formation energy = -14.3 eV/f.u.


Record 2
DFT (GGA-PBE) results for a geometry-optimized Sr5H3I12 structure.

Cell lengths 17.457, 17.457, 17.457 Å; angles 109.47, 109.47, 109.47 degrees
Last column: magnetic moment on the atom in μB.
Fractional coordinates of all 80 atoms:
I  0.613  0.898  0.433  0.13
Sr  0.375  0.125  0.750  0.00
H  0.125  0.875  0.750  0.38
I  0.387  0.285  0.320  0.13
I  0.536  0.215  0.102  0.13
Sr  0.625  0.750  0.875  0.00
I  0.180  0.113  0.715  0.13
I  0.320  0.785  0.387  0.13
I  0.567  0.964  0.680  0.13
H  0.750  0.375  0.125  0.38
Sr  0.250  0.875  0.125  0.00
I  0.933  0.113  0.898  0.13
H  0.625  0.250  0.375  0.38
I  0.613  0.715  0.680  0.13
I  0.887  0.067  0.602  0.13
I  0.898  0.285  0.464  0.13
I  0.285  0.898  0.964  0.13
Sr  0.500  0.500  0.000  0.00
I  0.102  0.387  0.067  0.13
I  0.215  0.536  0.602  0.13
Sr  0.000  0.000  0.500  0.00
H  0.375  0.750  0.625  0.38
I  0.320  0.536  0.433  0.13
I  0.820  0.887  0.285  0.13
I  0.602  0.567  0.887  0.13
I  0.464  0.680  0.067  0.13
H  0.875  0.750  0.125  0.38
Sr  0.500  0.500  0.500  0.00
I  0.898  0.613  0.933  0.13
I  0.680  0.215  0.613  0.13
I  0.964  0.398  0.285  0.13
I  0.180  0.067  0.964  0.13
I  0.887  0.820  0.785  0.13
Sr  0.500  0.000  0.000  0.00
Sr  0.875  0.250  0.625  0.00
H  0.250  0.625  0.875  0.38
H  0.750  0.875  0.625  0.38
I  0.820  0.933  0.036  0.13
I  0.680  0.464  0.567  0.13
I  0.715  0.102  0.036  0.13
I  0.102  0.715  0.536  0.13
Sr  0.875  0.625  0.750  0.00
I  0.285  0.387  0.820  0.13
Sr  0.625  0.875  0.250  0.00
I  0.067  0.887  0.102  0.13
I  0.785  0.320  0.887  0.13
Sr  0.000  0.000  0.000  0.00
I  0.433  0.036  0.320  0.13
I  0.113  0.933  0.398  0.13
I  0.715  0.613  0.180  0.13
I  0.398  0.433  0.113  0.13
I  0.602  0.036  0.215  0.13
Sr  0.000  0.500  0.500  0.00
Sr  0.125  0.750  0.375  0.00
I  0.933  0.820  0.536  0.13
Sr  0.125  0.375  0.250  0.00
I  0.964  0.567  0.180  0.13
I  0.067  0.180  0.464  0.13
I  0.215  0.680  0.113  0.13
Sr  0.375  0.250  0.125  0.00
Sr  0.750  0.625  0.375  0.00
I  0.567  0.602  0.387  0.13
I  0.036  0.602  0.715  0.13
I  0.464  0.785  0.898  0.13
I  0.536  0.320  0.933  0.13
H  0.625  0.375  0.750  0.38
H  0.375  0.625  0.250  0.38
I  0.113  0.180  0.215  0.13
H  0.125  0.250  0.875  0.38
H  0.250  0.125  0.375  0.38
I  0.398  0.964  0.785  0.13
Sr  0.250  0.375  0.625  0.00
I  0.785  0.464  0.398  0.13
I  0.433  0.398  0.613  0.13
I  0.387  0.102  0.567  0.13
Sr  0.500  0.000  0.500  0.00
I  0.036  0.433  0.820  0.13
Sr  0.750  0.125  0.875  0.00
Sr  0.000  0.500  0.000  0.00
H  0.875  0.125  0.250  0.38

## Properties
VASP energy = -2.6090 eV per atom


Record 3
DFT (GGA-PBE) results for a geometry-optimized Sr3NbC structure.

Cell lengths 5.454, 5.454, 5.454 Å; angles 90.00, 90.00, 90.00 degrees
Last column: magnetic moment on the atom in μB.
Fractional coordinates of all 5 atoms:
C  0.000  0.000  0.000  -0.23
Nb  0.500  0.500  0.500  2.86
Sr  0.000  0.000  0.500  0.03
Sr  0.500  0.000  0.000  0.04
Sr  0.000  0.500  0.000  0.02

## Properties
ΔE to the lowest computed polymorph = 0.0 kJ per mole of atoms


Record 4
DFT (GGA-PBE) results for a geometry-optimized SrAuSeCl2 structure.

Cell lengths 4.745, 7.570, 4.745 Å; angles 90.00, 90.00, 90.00 degrees
Last column: magnetic moment on the atom in μB.
Fractional coordinates of all 5 atoms:
Au  0.000  0.000  0.000  0.01
Cl  0.500  0.000  0.000  0.01
Cl  0.000  0.000  0.500  0.01
Se  0.500  0.500  0.500  0.20
Sr  0.000  0.500  0.000  0.00

## Properties
Uncorrected formation energy = -3.3 eV/f.u.


Record 5
DFT (GGA-PBE) results for a geometry-optimized Mn2CuSb structure.

Cell lengths 4.333, 4.333, 4.333 Å; angles 60.00, 60.00, 60.00 degrees
Last column: magnetic moment on the atom in μB.
Fractional coordinates of all 4 atoms:
Cu  0.500  0.500  0.500  0.08
Mn  0.000  0.000  0.000  1.33
Sb  0.750  0.750  0.750  -0.01
Mn  0.250  0.250  0.250  3.01

## Properties
Uncorrected formation energy = 1.1 eV/f.u.


Record 6
DFT (GGA-PBE) results for a geometry-optimized PmPrSm5Er2 structure.

Cell lengths 5.687, 10.534, 10.639 Å; angles 90.00, 90.00, 105.66 degrees
Fractional coordinates of all 18 atoms:
Sm  0.017  0.033  0.024
Sm  0.391  0.781  0.026
Sm  0.477  0.954  0.739
Sm  0.281  0.561  0.311
Sm  0.983  0.967  0.524
Pr  0.415  0.829  0.449
Sm  0.719  0.439  0.811
Er  0.112  0.224  0.734
Pr  0.585  0.171  0.949
Sm  0.703  0.405  0.207
Er  0.116  0.232  0.322
Pm  0.201  0.401  0.012
Pm  0.799  0.599  0.512
Er  0.888  0.776  0.234
Er  0.884  0.768  0.822
Sm  0.609  0.219  0.526
Sm  0.297  0.595  0.707
Sm  0.523  0.046  0.239

## Properties
VASP energy = -4.5415 eV per atom


Record 7
DFT (GGA-PBE) results for a geometry-optimized Pr3Cd2Ru structure.

Cell lengths 5.272, 8.243, 7.832 Å; angles 90.00, 90.00, 71.18 degrees
Fractional coordinates of all 12 atoms:
Pr  0.500  0.000  0.769
Cd  0.337  0.328  0.500
Cd  0.000  0.000  0.500
Pr  0.175  0.649  0.222
Pr  0.175  0.649  0.778
Cd  0.663  0.672  0.500
Ru  0.661  0.680  0.000
Cd  0.000  0.000  0.000
Pr  0.500  0.000  0.231
Ru  0.339  0.320  0.000
Pr  0.825  0.351  0.778
Pr  0.825  0.351  0.222

## Properties
ΔE to the lowest computed polymorph = 0.0 kJ per mole of atoms


Record 8
DFT (GGA-PBE) results for a geometry-optimized Y2WI structure.

Cell lengths 5.198, 5.198, 5.198 Å; angles 60.00, 60.00, 60.00 degrees
Fractional coordinates of all 4 atoms:
Y  0.750  0.750  0.750
W  0.500  0.500  0.500
I  0.000  0.000  0.000
Y  0.250  0.250  0.250

## Properties
ΔE to the lowest computed polymorph = 0.0 kJ per mole of atoms
Uncorrected formation energy = 2.0 eV/f.u.


Record 9
DFT (GGA-PBE) results for a geometry-optimized BaV2Pd structure.

Cell lengths 4.686, 4.686, 4.686 Å; angles 60.00, 60.00, 60.00 degrees
Fractional coordinates of all 4 atoms:
V  0.750  0.750  0.750
Pd  0.000  0.000  0.000
V  0.250  0.250  0.250
Ba  0.500  0.500  0.500

## Properties
ΔE to the lowest computed polymorph = 18.3 kJ per mole of atoms


Record 10
DFT (GGA-PBE) results for a geometry-optimized LaHoRu structure.

Cell lengths 3.456, 3.456, 7.180 Å; angles 103.93, 103.93, 90.00 degrees
Fractional coordinates of all 3 atoms:
Ru  0.672  0.672  0.344
Ho  0.289  0.289  0.578
La  0.039  0.039  0.078

## Properties
ΔE to the lowest computed polymorph = 0.6 kJ per mole of atoms


Record 11
DFT (GGA-PBE) results for a geometry-optimized Hf3Mg5 structure.

Cell lengths 3.192, 3.192, 17.517 Å; angles 90.00, 90.00, 90.00 degrees
Fractional coordinates of all 8 atoms:
Mg  0.000  0.000  0.378
Hf  0.000  0.000  0.124
Mg  0.500  0.500  0.746
Hf  0.000  0.000  0.876
Mg  0.500  0.500  0.254
Mg  0.000  0.000  0.622
Hf  0.500  0.500  0.000
Mg  0.500  0.500  0.500

## Properties
VASP energy = -4.7115 eV per atom


Record 12
DFT (GGA-PBE) results for a geometry-optimized AcTb2Hg2Pb2 structure.

Cell lengths 5.169, 5.169, 9.711 Å; angles 74.57, 74.57, 60.00 degrees
Fractional coordinates of all 7 atoms:
Hg  0.440  0.440  0.681
Tb  0.133  0.133  0.601
Ac  0.000  0.000  0.000
Hg  0.560  0.560  0.319
Pb  0.736  0.736  0.793
Pb  0.264  0.264  0.207
Tb  0.867  0.867  0.399

## Properties
VASP energy = -3.3348 eV per atom


Record 13
DFT (GGA-PBE) results for a geometry-optimized CoHCS structure.

Cell lengths 2.552, 2.995, 6.745 Å; angles 95.97, 99.75, 89.99 degrees
Fractional coordinates of all 4 atoms:
H  0.416  0.319  0.491
S  0.171  0.595  0.060
C  0.484  0.202  0.643
Co  0.061  0.047  0.814

## Properties
ΔE to the lowest computed polymorph = 10.0 kJ per mole of atoms


Record 14
DFT (GGA-PBE) results for a geometry-optimized SrSc2Zn structure.

Cell lengths 6.527, 6.527, 6.527 Å; angles 149.17, 130.73, 59.26 degrees
Fractional coordinates of all 4 atoms:
Sr  0.750  0.250  0.500
Zn  0.250  0.750  0.500
Sc  0.457  0.457  0.000
Sc  0.043  0.043  0.000

## Properties
VASP energy = -3.8866 eV per atom


Record 15
DFT (GGA-PBE) results for a geometry-optimized CePr3Dy6Er2 structure.

Cell lengths 6.207, 6.207, 11.842 Å; angles 95.01, 95.01, 119.99 degrees
Last column: magnetic moment on the atom in μB.
Fractional coordinates of all 12 atoms:
Dy  0.250  0.250  0.755  0.02
Er  0.333  0.667  0.000  0.05
Er  0.667  0.333  0.000  0.05
Dy  0.750  0.750  0.245  0.02
Pr  0.500  0.500  0.500  -0.01
Ce  0.000  0.000  0.000  0.77
Pr  0.168  0.832  0.500  -0.01
Pr  0.832  0.168  0.500  -0.01
Dy  0.082  0.413  0.245  0.02
Dy  0.413  0.082  0.245  0.02
Dy  0.918  0.587  0.755  0.02
Dy  0.587  0.918  0.755  0.02

## Properties
VASP energy = -4.7141 eV per atom


Record 16
DFT (GGA-PBE) results for a geometry-optimized CsSr2RePb structure.

Cell lengths 6.164, 5.024, 6.164 Å; angles 90.00, 90.00, 90.00 degrees
Last column: magnetic moment on the atom in μB.
Fractional coordinates of all 5 atoms:
Pb  0.500  0.500  0.500  0.01
Sr  0.500  0.000  0.000  -0.02
Sr  0.000  0.000  0.500  -0.02
Re  0.000  0.500  0.000  0.70
Cs  0.000  0.000  0.000  -0.01

## Properties
VASP energy = -2.4670 eV per atom


Record 17
DFT (GGA-PBE) results for a geometry-optimized Tl6RhCl12 structure.

Cell lengths 8.577, 8.577, 8.577 Å; angles 89.33, 89.33, 89.33 degrees
Fractional coordinates of all 19 atoms:
Tl  0.355  0.692  0.154
Cl  0.825  0.411  0.568
Cl  0.175  0.589  0.432
Cl  0.986  0.274  0.010
Cl  0.589  0.432  0.175
Cl  0.726  0.990  0.014
Cl  0.568  0.825  0.411
Cl  0.010  0.986  0.274
Cl  0.274  0.010  0.986
Tl  0.645  0.308  0.846
Rh  0.000  0.000  0.000
Cl  0.990  0.014  0.726
Tl  0.154  0.355  0.692
Tl  0.846  0.645  0.308
Tl  0.308  0.846  0.645
Cl  0.432  0.175  0.589
Cl  0.014  0.726  0.990
Tl  0.692  0.154  0.355
Cl  0.411  0.568  0.825

## Properties
Uncorrected formation energy = -14.2 eV/f.u.


Record 18
DFT (GGA-PBE) results for a geometry-optimized TeH2Ir structure.

Cell lengths 4.045, 4.045, 6.678 Å; angles 72.37, 72.37, 90.00 degrees
Fractional coordinates of all 8 atoms:
Ir  0.750  0.250  0.500
Ir  0.000  0.000  0.000
H  0.375  0.126  0.750
Te  0.500  0.500  0.000
Te  0.250  0.750  0.500
H  0.874  0.125  0.250
H  0.876  0.625  0.250
H  0.875  0.124  0.750

## Properties
ΔE to the lowest computed polymorph = 0.0 kJ per mole of atoms


Record 19
DFT (GGA-PBE) results for a geometry-optimized Si2Se structure.

Cell lengths 6.141, 6.141, 6.254 Å; angles 83.38, 83.38, 33.11 degrees
Fractional coordinates of all 6 atoms:
Si  0.321  0.321  0.474
Si  0.030  0.030  0.676
Si  0.679  0.679  0.526
Se  0.389  0.389  0.825
Se  0.611  0.611  0.175
Si  0.970  0.970  0.324

## Properties
ΔE to the lowest computed polymorph = 29.7 kJ per mole of atoms
Uncorrected formation energy = 0.4 eV/f.u.


Record 20
DFT (GGA-PBE) results for a geometry-optimized CeNdErPu structure.

Cell lengths 5.575, 5.575, 5.575 Å; angles 60.00, 60.00, 60.00 degrees
Last column: magnetic moment on the atom in μB.
Fractional coordinates of all 4 atoms:
Ce  0.750  0.750  0.750  1.09
Er  0.000  0.000  0.000  0.33
Nd  0.250  0.250  0.250  0.26
Pu  0.500  0.500  0.500  5.67

## Properties
VASP energy = -7.2006 eV per atom


Record 21
DFT (GGA-PBE) results for a geometry-optimized CaTmSc2As4 structure.

Cell lengths 3.979, 6.985, 6.943 Å; angles 70.94, 90.00, 90.00 degrees
Fractional coordinates of all 8 atoms:
As  0.500  0.235  0.750
Ca  0.500  0.500  0.000
As  0.000  0.771  0.738
Sc  0.000  0.000  0.000
As  0.000  0.229  0.262
Tm  0.000  0.500  0.500
As  0.500  0.765  0.250
Sc  0.500  0.000  0.500

## Properties
VASP energy = -5.9967 eV per atom


Record 22
DFT (GGA-PBE) results for a geometry-optimized RbSnN3 structure.

Cell lengths 4.535, 4.535, 4.535 Å; angles 90.00, 90.00, 90.00 degrees
Last column: magnetic moment on the atom in μB.
Fractional coordinates of all 5 atoms:
Sn  0.500  0.500  0.500  -0.10
N  0.000  0.500  0.000  1.03
Rb  0.000  0.000  0.000  0.09
N  0.500  0.000  0.000  0.75
N  0.000  0.000  0.500  0.83

## Properties
Uncorrected formation energy = 14.7 eV/f.u.


D(E_F) values (in states/eV/cell) by entry order: 6.4 98.2 6.1 2.7 3.8 28.2 10.3 3.1 4.5 1.9 4.4 7.1 1.5 6.5 18.8 6.2 22.5 2.9 1.7 9.3 3.1 2.8.